(1)
{
  "formula": "AcCeY2As4",
  "functional": "PBE",
  "state": "optimized geometry",
  "e_form_mev_per_atom": -1474,
  "cell": [[-0.4595, 2.7804, 3.1995], [-7.2425, -1.3545, 0.1369], [-1.3709, -5.5794, 4.6517]],
  "species": ["Ac", "Ce", "Y", "Y", "As", "As", "As", "As"],
  "fractional_positions": [[0.5000, 0.5000, 0.0000], [0.0000, 0.5000, 0.5000], [0.0000, 0.0000, 0.0000], [0.5000, 0.0000, 0.5000], [0.0000, 0.7661, 0.7353], [0.0000, 0.2339, 0.2647], [0.5000, 0.7602, 0.2550], [0.5000, 0.2398, 0.7450]]
}

***

(2)
{
  "formula": "Ac6As5Cl",
  "functional": "PBE",
  "state": "optimized geometry",
  "formation_energy_uncorrected_ev_per_fu": -18.6,
  "cell": [[7.7351, 0.1911, 1.1765], [1.9027, 6.5752, 3.8329], [0.1304, 0.0745, 7.8361]],
  "species": ["Ac", "Ac", "Ac", "Ac", "Ac", "Ac", "As", "As", "As", "As", "As", "Cl"],
  "fractional_positions": [[0.7440, 0.0855, 0.3447], [0.2560, 0.5698, 0.3447], [0.2567, 0.2593, 0.0000], [0.7433, 0.7407, 0.0000], [0.7440, 0.4302, 0.6553], [0.2560, 0.9145, 0.6553], [0.5000, 0.1641, 0.6718], [0.0000, 0.3329, 0.3341], [0.5000, 0.5000, 0.0000], [0.0000, 0.6671, 0.6659], [0.5000, 0.8359, 0.3282], [0.0000, 0.0000, 0.0000]]
}

***

no.,spin magnetization (μB/f.u.),E (eV per cell)
1,0.7,-53.36
2,0.0,-68.38